First-principles (PBE) data for a geometry-optimized PmFe2C3 structure, as listed in Alexandria.

Cell lengths 5.620, 5.620, 4.819 Å; angles 90.00, 90.00, 108.71 degrees
Atoms (fractional coordinates):
Pm1 0.213 0.787 0.750
Pm2 0.787 0.213 0.250
Fe1 0.310 0.310 0.000
Fe2 0.310 0.310 0.500
Fe3 0.690 0.690 0.000
Fe4 0.690 0.690 0.500
C1 0.034 0.177 0.750
C2 0.177 0.034 0.250
C3 0.418 0.582 0.250
C4 0.582 0.418 0.750
C5 0.823 0.966 0.750
C6 0.966 0.823 0.250

Summary:
Formation enthalpy at 0 K   -0.31 eV/f.u.
SG   No. 63
Density of states at the Fermi level   8.05 states/eV/cell